CaSm7Y12 | GGA-PBE | optimized geometry

```
CaSm7Y12
1.0
0.5788 8.3794 -5.1378
5.8347 -6.7813 -4.1129
-9.3025 -3.2263 -0.0202
Sm Y Ca
7 12 1
Direct
0.0000 0.0000 0.5000
0.0000 0.5000 0.0000
0.0000 0.5000 0.5000
0.5000 0.5000 0.0000
0.5000 0.0000 0.5000
0.5000 0.0000 0.0000
0.5000 0.5000 0.5000
0.7463 0.7463 0.4927
0.2537 0.7463 0.0000
0.4927 0.7463 0.7463
0.0000 0.2537 0.7463
0.7463 0.0000 0.2537
0.0000 0.7463 0.2537
0.2537 0.0000 0.7463
0.5073 0.2537 0.2537
0.2537 0.5073 0.2537
0.7463 0.4927 0.7463
0.2537 0.2537 0.5073
0.7463 0.2537 0.0000
0.0000 0.0000 0.0000
```

Calculated values
Calculated formation energy (eV/atom): 0.625